Entry 1:
A plane-wave DFT calculation with PBE-GGA was carried out for Ac2Nd3Sm2 after structural relaxation.

abc: 5.9043 3.6228 12.6158
angles: 90.00 103.46 90.00
Last column: nearest neighbours and their distance in Å.
Atoms (fractional coordinates):
1 Ac 0.0778 0.0000 0.1559  3 Nd 3.49-3.52, 3 Ac 3.62-3.83, 4 Sm 3.85-3.86
2 Ac 0.9222 0.0000 0.8441  3 Nd 3.49-3.52, 3 Ac 3.62-3.83, 4 Sm 3.85-3.86
3 Nd 0.2199 0.0000 0.4404  4 Nd 3.29-3.62, 1 Ac 3.49
4 Nd 0.5000 0.0000 0.0000  4 Ac 3.52, 2 Nd 3.62
5 Nd 0.7801 0.0000 0.5596  4 Nd 3.29-3.62, 1 Ac 3.49
6 Sm 0.3533 0.5000 0.7064  2 Sm 3.62, 8 Nd 3.73-4.03, 4 Ac 3.85-3.86
7 Sm 0.6467 0.5000 0.2936  2 Sm 3.62, 8 Nd 3.73-4.03, 4 Ac 3.85-3.86

Summary:
- Formation energy from the elements: 138.5 meV/atom
- Space group: P2/m, No. 10
- Calculated volume: 262 Å³ per cell

Entry 2:
A plane-wave DFT calculation with PBE-GGA was carried out for BeMoAs2 after structural relaxation.

abc: 4.5589 4.5589 4.6100
angles: 93.33 93.33 39.36
Last column: nearest neighbours and their distance in Å.
Atoms (fractional coordinates):
1 Be 0.0000 0.0000 0.0000  2 As 2.32
2 Mo 0.5000 0.5000 0.5000  6 As 2.64-2.69, 4 Be 2.77
3 As 0.2223 0.2223 0.7398  1 Be 2.32
4 As 0.7777 0.7777 0.2602  1 Be 2.32

Summary:
- Formation energy from the elements: 222.6 meV/atom
- Space group: C2/m, No. 12
- Calculated volume: 61 Å³ per cell

Entry 3:
A plane-wave DFT calculation with PBE-GGA was carried out for RbTl2Rh3F12 after structural relaxation.

abc: 7.7300 7.7300 7.7300
angles: 58.12 58.12 58.12
Last column: nearest neighbours and their distance in Å.
Atoms (fractional coordinates):
1 Rb 0.0000 0.0000 0.0000  6 F 2.82
2 Tl 0.3635 0.3635 0.3635  3 F 2.55
3 Tl 0.6365 0.6365 0.6365  3 F 2.55
4 Rh 0.0000 0.0000 0.5000  6 F 2.00-2.03
5 Rh 0.0000 0.5000 0.0000  6 F 2.00-2.03
6 Rh 0.5000 0.0000 0.0000  6 F 2.00-2.03
7 F 0.1205 0.7229 0.7229  2 Rh 2.03
8 F 0.1308 0.1308 0.5458  1 Rh 2.00
9 F 0.1308 0.5458 0.1308  1 Rh 2.00
10 F 0.2771 0.2771 0.8795  2 Rh 2.03
11 F 0.2771 0.8795 0.2771  2 Rh 2.03
12 F 0.4542 0.8692 0.8692  1 Rh 2.00
13 F 0.5458 0.1308 0.1308  1 Rh 2.00
14 F 0.7229 0.1205 0.7229  2 Rh 2.03
15 F 0.7229 0.7229 0.1205  2 Rh 2.03
16 F 0.8692 0.4542 0.8692  1 Rh 2.00
17 F 0.8692 0.8692 0.4542  1 Rh 2.00
18 F 0.8795 0.2771 0.2771  2 Rh 2.03

Summary:
- DFT total energy: -4.57 eV per atom
- Space group: R-3m, No. 166
- Calculated volume: 313 Å³ per cell

Entry 4:
A plane-wave DFT calculation with PBE-GGA was carried out for CaY2Re after structural relaxation.

abc: 3.4919 3.4919 9.4828
angles: 90.00 90.00 90.00
Last column: nearest neighbours and their distance in Å.
Atoms (fractional coordinates):
1 Ca 0.0000 0.0000 0.0000  4 Ca 3.49
2 Y 0.5000 0.5000 0.3267  4 Re 2.97, 1 Y 3.29
3 Y 0.5000 0.5000 0.6733  4 Re 2.97, 1 Y 3.29
4 Re 0.0000 0.0000 0.5000  8 Y 2.97

Summary:
- Formation energy from the elements: 139.6 meV/atom
- Space group: P4/mmm, No. 123
- ΔE to the lowest computed polymorph: 0 meV/atom
- Calculated volume: 116 Å³ per cell

Entry 5:
A plane-wave DFT calculation with PBE-GGA was carried out for NaSr3Ir after structural relaxation.

abc: 5.9320 5.9320 5.9320
angles: 90.00 90.00 90.00
Last column: nearest neighbours and their distance in Å.
Atoms (fractional coordinates):
1 Na 0.0000 0.0000 0.0000  12 Sr 4.19
2 Sr 0.0000 0.5000 0.5000  2 Ir 2.97
3 Sr 0.5000 0.0000 0.5000  2 Ir 2.97
4 Sr 0.5000 0.5000 0.0000  2 Ir 2.97
5 Ir 0.5000 0.5000 0.5000  6 Sr 2.97

Summary:
- Formation energy from the elements: -122.9 meV/atom
- Space group: Pm-3m, No. 221
- ΔE to the lowest computed polymorph: 0 meV/atom
- Calculated volume: 209 Å³ per cell

Entry 6:
A plane-wave DFT calculation with PBE-GGA was carried out for SiAgP2 after structural relaxation.

abc: 6.8518 6.8518 6.8518
angles: 28.67 28.67 28.67
Last column: nearest neighbours and their distance in Å.
Atoms (fractional coordinates):
1 Si 0.0000 0.0000 0.0000  3 P 2.46, 3 Ag 2.67
2 Ag 0.7589 0.7589 0.7589  3 Si 2.67, 3 P 2.74
3 P 0.2582 0.2582 0.2582  3 P 2.38, 3 Si 2.46
4 P 0.5230 0.5230 0.5230  3 P 2.38

Summary:
- DFT total energy: -4.55 eV per atom
- Space group: R3m, No. 160
- Calculated volume: 65 Å³ per cell

Entry 7:
A plane-wave DFT calculation with PBE-GGA was carried out for HgOsCl5 after structural relaxation.

abc: 5.7185 8.6422 10.5567
angles: 84.34 81.48 89.39
Last column: nearest neighbours and their distance in Å.
Atoms (fractional coordinates):
1 Hg 0.1233 0.1144 0.1379  2 Cl 2.29-2.31
2 Hg 0.8767 0.8856 0.8621  2 Cl 2.29-2.31
3 Os 0.0000 0.5000 0.5000  6 Cl 2.37-2.38
4 Os 0.5000 0.5000 0.5000  6 Cl 2.37-2.38
5 Cl 0.1043 0.7854 0.0143  1 Hg 2.31
6 Cl 0.2242 0.6860 0.5827  2 Os 2.38
7 Cl 0.2259 0.3051 0.5998  2 Os 2.37
8 Cl 0.2997 0.5097 0.3175  2 Os 2.38
9 Cl 0.3531 0.0260 0.2901  1 Hg 2.29
10 Cl 0.6469 0.9740 0.7099  1 Hg 2.29
11 Cl 0.7003 0.4903 0.6825  2 Os 2.38
12 Cl 0.7741 0.6949 0.4002  2 Os 2.37
13 Cl 0.7758 0.3140 0.4173  2 Os 2.38
14 Cl 0.8957 0.2146 0.9857  1 Hg 2.31

Summary:
- DFT total energy: -3.39 eV per atom
- Space group: P-1, No. 2
- Calculated volume: 513 Å³ per cell

Entry 8:
A plane-wave DFT calculation with PBE-GGA was carried out for La3ZrW after structural relaxation.

abc: 5.5534 5.5534 5.5534
angles: 90.00 90.00 90.00
Last column: nearest neighbours and their distance in Å.
Atoms (fractional coordinates):
1 La 0.0000 0.0000 0.5000  2 W 2.78
2 La 0.0000 0.5000 0.0000  2 W 2.78
3 La 0.5000 0.0000 0.0000  2 W 2.78
4 Zr 0.5000 0.5000 0.5000  12 La 3.93
5 W 0.0000 0.0000 0.0000  6 La 2.78

Summary:
- Formation energy from the elements: 820.8 meV/atom
- Space group: Pm-3m, No. 221
- ΔE to the lowest computed polymorph: 0 meV/atom
- Calculated volume: 171 Å³ per cell

Entry 9:
A plane-wave DFT calculation with PBE-GGA was carried out for Li5Te after structural relaxation.

abc: 4.8873 4.8873 6.2526
angles: 100.60 100.60 51.69
Last column: nearest neighbours and their distance in Å.
Atoms (fractional coordinates):
1 Li 0.0000 0.0000 0.0000  6 Li 2.79-3.11, 3 Te 2.87-2.97
2 Li 0.0246 0.0246 0.4898  7 Li 2.79-3.06, 2 Te 3.07
3 Li 0.3206 0.3206 0.1510  7 Li 2.79-3.06, 2 Te 3.06
4 Li 0.3462 0.3462 0.6421  6 Li 2.79-3.10, 3 Te 2.86-2.97
5 Li 0.6728 0.6728 0.3217  10 Li 2.81-3.11, 2 Te 3.12-3.13
6 Te 0.6730 0.6730 0.8209  12 Li 2.86-3.13

Summary:
- Space group: Cm, No. 8
- ΔE to the lowest computed polymorph: 46 meV/atom
- Calculated volume: 115 Å³ per cell

Entry 10:
A plane-wave DFT calculation with PBE-GGA was carried out for NbGaPd2 after structural relaxation.

abc: 2.9354 2.9354 8.7984
angles: 99.70 99.70 59.80
Last column: nearest neighbours and their distance in Å.
Atoms (fractional coordinates):
1 Nb 0.0000 0.0000 0.0000  6 Pd 2.86, 6 Nb 2.93-2.94
2 Ga 0.8332 0.8332 0.5000  6 Pd 2.63, 6 Ga 2.93-2.94
3 Pd 0.4231 0.4231 0.2671  3 Ga 2.63, 3 Nb 2.86, 6 Pd 2.93-2.94
4 Pd 0.5775 0.5775 0.7329  3 Ga 2.63, 3 Nb 2.86, 6 Pd 2.93-2.94

Summary:
- Formation energy from the elements: -355.4 meV/atom
- Space group: Cm, No. 8
- Calculated volume: 64 Å³ per cell

Entry 11:
A plane-wave DFT calculation with PBE-GGA was carried out for Cd3GeIr after structural relaxation.

abc: 5.1540 5.1540 5.1540
angles: 90.00 90.00 90.00
Last column: nearest neighbours and their distance in Å.
Atoms (fractional coordinates):
1 Cd 0.0000 0.0000 0.5000  2 Ir 2.58
2 Cd 0.0000 0.5000 0.0000  2 Ir 2.58
3 Cd 0.5000 0.0000 0.0000  2 Ir 2.58
4 Ge 0.5000 0.5000 0.5000  12 Cd 3.64
5 Ir 0.0000 0.0000 0.0000  6 Cd 2.58

Summary:
- Formation energy from the elements: 590.6 meV/atom
- Space group: Pm-3m, No. 221
- ΔE to the lowest computed polymorph: 0 meV/atom
- Calculated volume: 137 Å³ per cell

Entry 12:
A plane-wave DFT calculation with PBE-GGA was carried out for La3CuPt8 after structural relaxation.

abc: 9.5332 9.5332 9.5332
angles: 33.51 33.51 33.51
Last column: nearest neighbours and their distance in Å.
Atoms (fractional coordinates):
1 La 0.0000 0.0000 0.0000  12 Pt 3.21-3.27, 4 La 3.52-3.53
2 La 0.1304 0.1304 0.1304  12 Pt 3.06-3.32, 3 Cu 3.21
3 La 0.6095 0.6095 0.6095  9 Pt 3.05-3.31
4 Cu 0.4809 0.4809 0.4809  3 Pt 2.81
5 Pt 0.0593 0.0593 0.5628  6 Pt 2.72-2.77
6 Pt 0.0593 0.5628 0.0593  6 Pt 2.72-2.77
7 Pt 0.0622 0.5608 0.5608  6 Pt 2.74-2.76, 1 Cu 2.81
8 Pt 0.3106 0.3106 0.3106  6 Pt 2.76
9 Pt 0.5608 0.0622 0.5608  6 Pt 2.74-2.76, 1 Cu 2.81
10 Pt 0.5608 0.5608 0.0622  6 Pt 2.74-2.76, 1 Cu 2.81
11 Pt 0.5628 0.0593 0.0593  6 Pt 2.72-2.77
12 Pt 0.8115 0.8115 0.8115  6 Pt 2.72-2.76

Summary:
- Formation energy from the elements: -918.4 meV/atom
- Space group: R3m, No. 160
- Calculated volume: 235 Å³ per cell

Entry 13:
A plane-wave DFT calculation with PBE-GGA was carried out for NdYErCd after structural relaxation.

abc: 3.6277 3.6277 9.0349
angles: 90.00 90.00 90.00
Last column: nearest neighbours and their distance in Å.
Atoms (fractional coordinates):
1 Nd 0.0000 0.0000 0.0000  4 Er 3.58, 4 Y 3.63, 4 Nd 3.63
2 Y 0.5000 0.5000 0.7164  4 Cd 3.26, 4 Nd 3.63, 4 Y 3.63
3 Er 0.5000 0.5000 0.2768  4 Cd 3.22, 4 Nd 3.58
4 Cd 0.0000 0.0000 0.4930  4 Er 3.22, 4 Y 3.26

Summary:
- Formation energy from the elements: -157.5 meV/atom
- Space group: P4mm, No. 99
- ΔE to the lowest computed polymorph: 0 meV/atom
- Calculated volume: 119 Å³ per cell